No. 1
The following is a DFT calculation (GGA-PBE) of an optimized crystal structure of KCrOs2.

The formation energy comes out at 1.681 eV/atom. The energy above the lowest structure with this stoichiometry is 986 meV/atom.

The structure belongs to space group Fm-3m (No. 225); the cell edges are 6.292, 6.292 and 6.292 Å and the angles 90.00°, 90.00° and 90.00°. The asymmetric unit holds K at (0.000, 0.000, 0.000), Cr at (0.000, 0.000, 0.500) and Os at (0.250, 0.250, 0.250).

---

No. 2
The following is a DFT calculation (GGA-PBE) of an optimized crystal structure of ScTc2.

The formation energy comes out at -0.022 eV/atom. The energy above the lowest structure with this stoichiometry is 282 meV/atom.

The structure belongs to space group Pnma (No. 62); the cell edges are 5.511, 4.430 and 8.101 Å and the angles 90.00°, 90.00° and 90.00°. The asymmetric unit holds Sc at (0.163, 0.250, 0.078), Tc at (0.013, 0.250, 0.719) and Tc at (0.161, 0.250, 0.417).

---

No. 3
The following is a DFT calculation (GGA-PBE) of an optimized crystal structure of Pm6P2Se3O.

The calculation puts the formation energy without anion corrections at -1.894 eV per atom.

The structure belongs to space group C2/m (No. 12); the cell edges are 17.936, 4.046 and 8.246 Å and the angles 90.00°, 105.44° and 90.00°. The asymmetric unit holds Pm at (0.002, 0.000, 0.218), Pm at (0.148, 0.500, 0.084), Pm at (0.170, 0.500, 0.573), P at (0.164, 0.000, 0.330), Se at (0.000, 0.500, 0.500), Se at (0.171, 0.000, 0.838) and O at (0.000, 0.500, 0.000).

---

No. 4
The following is a DFT calculation (GGA-PBE) of an optimized crystal structure of LaVGaRh2.

The formation energy comes out at 0.389 eV/atom.

The structure belongs to space group P4/mmm (No. 123); the cell edges are 4.555, 4.555 and 5.295 Å and the angles 90.00°, 90.00° and 90.00°. The asymmetric unit holds La at (0.000, 0.000, 0.000), V at (0.000, 0.000, 0.500), Ga at (0.500, 0.500, 0.000) and Rh at (0.000, 0.500, 0.500).

---

No. 5
The following is a DFT calculation (GGA-PBE) of an optimized crystal structure of Tb3Pr4.

The formation energy comes out at 0.123 eV/atom. The energy above the lowest structure with this stoichiometry is 107 meV/atom.

The structure belongs to space group C2/m (No. 12); the cell edges are 17.177, 3.541 and 8.946 Å and the angles 90.00°, 116.79° and 90.00°. The asymmetric unit holds Tb at (0.000, 0.000, 0.000), Tb at (0.220, 0.000, 0.143), Pr at (0.079, 0.000, 0.706) and Pr at (0.139, 0.500, 0.407).

---

No. 6
The following is a DFT calculation (GGA-PBE) of an optimized crystal structure of BaNiTe.

The calculation puts the formation energy without anion corrections at -0.805 eV per atom.

The structure belongs to space group C2/m (No. 12); the cell edges are 13.017, 4.314 and 6.147 Å and the angles 90.00°, 99.79° and 90.00°. The asymmetric unit holds Ba at (0.110, 0.000, 0.300), Ni at (0.216, 0.000, 0.903) and Te at (0.123, 0.500, 0.774).